[1]
# YAl2Co (PBE-GGA, relaxed)
# - N(E_F) (states/eV/cell) = 2.07
# - formation energy (kJ/mol of atoms) = -27.54
data_YAl2Co
_cell_length_a 3.1523
_cell_length_b 3.1523
_cell_length_c 6.9642
_cell_angle_alpha 90.00
_cell_angle_beta 90.00
_cell_angle_gamma 90.00
_symmetry_space_group_name_H-M 'P 1'
_symmetry_Int_Tables_number 1
loop_
_symmetry_equiv_pos_as_xyz
'x,y,z'
loop_
_atom_site_label
_atom_site_type_symbol
_atom_site_fract_x
_atom_site_fract_y
_atom_site_fract_z
_atom_site_occupancy
Y1 Y 0.0000 0.0000 0.0000 1
Al1 Al 0.0000 0.0000 0.5634 1
Al2 Al 0.5000 0.5000 0.3269 1
Co1 Co 0.5000 0.5000 0.7198 1

[2]
# Hf4GaSb2 (PBE-GGA, relaxed)
# - N(E_F) (states/eV/cell) = 7.61
# - formation energy from raw total energies (eV per atom) = -0.437
data_Hf4GaSb2
_cell_length_a 7.3218
_cell_length_b 7.3218
_cell_length_c 7.3218
_cell_angle_alpha 110.00
_cell_angle_beta 110.00
_cell_angle_gamma 108.42
_symmetry_space_group_name_H-M 'P 1'
_symmetry_Int_Tables_number 1
loop_
_symmetry_equiv_pos_as_xyz
'x,y,z'
loop_
_atom_site_label
_atom_site_type_symbol
_atom_site_fract_x
_atom_site_fract_y
_atom_site_fract_z
_atom_site_occupancy
Hf1 Hf 0.1337 0.0234 0.7420 1
Hf2 Hf 0.1417 0.5314 0.7580 1
Hf3 Hf 0.2814 0.3917 0.2580 1
Hf4 Hf 0.4686 0.2266 0.6103 1
Hf5 Hf 0.6083 0.8663 0.8897 1
Hf6 Hf 0.6163 0.8583 0.3897 1
Hf7 Hf 0.7734 0.3837 0.2420 1
Hf8 Hf 0.9766 0.7186 0.1103 1
Ga1 Ga 0.2500 0.7500 0.5000 1
Ga2 Ga 0.5000 0.5000 0.0000 1
Sb1 Sb 0.3750 0.0080 0.1330 1
Sb2 Sb 0.7580 0.6250 0.6330 1
Sb3 Sb 0.8750 0.2420 0.8670 1
Sb4 Sb 0.9920 0.1250 0.3670 1

[3]
# HfMgSe (PBE-GGA, relaxed)
# - N(E_F) (states/eV/cell) = 1.55
# - formation energy from raw total energies (eV per atom) = -0.629
data_HfMgSe
_cell_length_a 7.1780
_cell_length_b 7.1780
_cell_length_c 3.4186
_cell_angle_alpha 90.00
_cell_angle_beta 90.00
_cell_angle_gamma 130.92
_symmetry_space_group_name_H-M 'P 1'
_symmetry_Int_Tables_number 1
loop_
_symmetry_equiv_pos_as_xyz
'x,y,z'
loop_
_atom_site_label
_atom_site_type_symbol
_atom_site_fract_x
_atom_site_fract_y
_atom_site_fract_z
_atom_site_occupancy
Hf1 Hf 0.2473 0.2473 0.0000 1
Hf2 Hf 0.7527 0.7527 0.0000 1
Mg1 Mg 0.1653 0.8347 0.5000 1
Mg2 Mg 0.8347 0.1653 0.5000 1
Se1 Se 0.3737 0.6263 0.5000 1
Se2 Se 0.6263 0.3737 0.5000 1

[4]
# PrY9In2 (PBE-GGA, relaxed)
# - N(E_F) (states/eV/cell) = 15.68
# - formation energy (kJ/mol of atoms) = -15.82
data_PrY9In2
_cell_length_a 4.8976
_cell_length_b 4.8976
_cell_length_c 15.1555
_cell_angle_alpha 90.00
_cell_angle_beta 90.00
_cell_angle_gamma 90.00
_symmetry_space_group_name_H-M 'P 1'
_symmetry_Int_Tables_number 1
loop_
_symmetry_equiv_pos_as_xyz
'x,y,z'
loop_
_atom_site_label
_atom_site_type_symbol
_atom_site_fract_x
_atom_site_fract_y
_atom_site_fract_z
_atom_site_occupancy
Pr1 Pr 0.0000 0.0000 0.0000 1
Y1 Y 0.0000 0.5000 0.1767 1
Y2 Y 0.0000 0.5000 0.5000 1
Y3 Y 0.0000 0.5000 0.8233 1
Y4 Y 0.5000 0.0000 0.1767 1
Y5 Y 0.5000 0.0000 0.5000 1
Y6 Y 0.5000 0.0000 0.8233 1
Y7 Y 0.5000 0.5000 0.0000 1
Y8 Y 0.5000 0.5000 0.3403 1
Y9 Y 0.5000 0.5000 0.6597 1
In1 In 0.0000 0.0000 0.3400 1
In2 In 0.0000 0.0000 0.6600 1

[5]
# PaNi2As3 (PBE-GGA, relaxed)
# - N(E_F) (states/eV/cell) = 14.24
# - formation energy (kJ/mol of atoms) = -35.77
data_PaNi2As3
_cell_length_a 6.4000
_cell_length_b 6.4000
_cell_length_c 5.2659
_cell_angle_alpha 90.00
_cell_angle_beta 90.00
_cell_angle_gamma 94.92
_symmetry_space_group_name_H-M 'P 1'
_symmetry_Int_Tables_number 1
loop_
_symmetry_equiv_pos_as_xyz
'x,y,z'
loop_
_atom_site_label
_atom_site_type_symbol
_atom_site_fract_x
_atom_site_fract_y
_atom_site_fract_z
_atom_site_occupancy
Pa1 Pa 0.1736 0.8264 0.7500 1
Pa2 Pa 0.8264 0.1736 0.2500 1
Ni1 Ni 0.3468 0.3468 0.0000 1
Ni2 Ni 0.3468 0.3468 0.5000 1
Ni3 Ni 0.6532 0.6532 0.0000 1
Ni4 Ni 0.6532 0.6532 0.5000 1
As1 As 0.0540 0.2978 0.7500 1
As2 As 0.2978 0.0540 0.2500 1
As3 As 0.3527 0.6473 0.2500 1
As4 As 0.6473 0.3527 0.7500 1
As5 As 0.7022 0.9460 0.7500 1
As6 As 0.9460 0.7022 0.2500 1

[6]
# Li3Er3HfSe8 (PBE-GGA, relaxed)
# - formation energy from raw total energies (eV per atom) = -1.624
data_Li3Er3HfSe8
_cell_length_a 7.9765
_cell_length_b 7.9765
_cell_length_c 7.9765
_cell_angle_alpha 60.16
_cell_angle_beta 60.16
_cell_angle_gamma 60.16
_symmetry_space_group_name_H-M 'P 1'
_symmetry_Int_Tables_number 1
loop_
_symmetry_equiv_pos_as_xyz
'x,y,z'
loop_
_atom_site_label
_atom_site_type_symbol
_atom_site_fract_x
_atom_site_fract_y
_atom_site_fract_z
_atom_site_occupancy
Li1 Li 0.0000 0.5000 0.5000 1
Li2 Li 0.5000 0.0000 0.5000 1
Li3 Li 0.5000 0.5000 0.0000 1
Er1 Er 0.0000 0.0000 0.5000 1
Er2 Er 0.0000 0.5000 0.0000 1
Er3 Er 0.5000 0.0000 0.0000 1
Hf1 Hf 0.5000 0.5000 0.5000 1
Se1 Se 0.2508 0.2508 0.2508 1
Se2 Se 0.2600 0.2600 0.7372 1
Se3 Se 0.2600 0.7372 0.2600 1
Se4 Se 0.2628 0.7400 0.7400 1
Se5 Se 0.7372 0.2600 0.2600 1
Se6 Se 0.7400 0.2628 0.7400 1
Se7 Se 0.7400 0.7400 0.2628 1
Se8 Se 0.7492 0.7492 0.7492 1

[7]
# PrFeRu (PBE-GGA, relaxed)
# - N(E_F) (states/eV/cell) = 6.40
# - formation energy (kJ/mol of atoms) = -3.54
data_PrFeRu
_cell_length_a 5.3608
_cell_length_b 5.3608
_cell_length_c 5.3608
_cell_angle_alpha 120.79
_cell_angle_beta 117.56
_cell_angle_gamma 91.45
_symmetry_space_group_name_H-M 'P 1'
_symmetry_Int_Tables_number 1
loop_
_symmetry_equiv_pos_as_xyz
'x,y,z'
loop_
_atom_site_label
_atom_site_type_symbol
_atom_site_fract_x
_atom_site_fract_y
_atom_site_fract_z
_atom_site_occupancy
Pr1 Pr 0.3767 0.1267 0.2500 1
Pr2 Pr 0.6233 0.8733 0.7500 1
Fe1 Fe 0.0000 0.0000 0.5000 1
Fe2 Fe 0.0000 0.5000 0.0000 1
Ru1 Ru 0.0000 0.5000 0.5000 1
Ru2 Ru 0.5000 0.5000 0.0000 1

[8]
# Pm2MnSn3Rh4 (PBE-GGA, relaxed)
# - N(E_F) (states/eV/cell) = 5.88
# - formation energy (kJ/mol of atoms) = -59.10
data_Pm2MnSn3Rh4
_cell_length_a 4.3263
_cell_length_b 4.3263
_cell_length_c 11.1423
_cell_angle_alpha 90.00
_cell_angle_beta 90.00
_cell_angle_gamma 90.00
_symmetry_space_group_name_H-M 'P 1'
_symmetry_Int_Tables_number 1
loop_
_symmetry_equiv_pos_as_xyz
'x,y,z'
loop_
_atom_site_label
_atom_site_type_symbol
_atom_site_fract_x
_atom_site_fract_y
_atom_site_fract_z
_atom_site_occupancy
Pm1 Pm 0.0000 0.5000 0.2461 1
Pm2 Pm 0.5000 0.0000 0.7539 1
Mn1 Mn 0.5000 0.5000 0.0000 1
Sn1 Sn 0.0000 0.0000 0.0000 1
Sn2 Sn 0.0000 0.5000 0.6320 1
Sn3 Sn 0.5000 0.0000 0.3680 1
Rh1 Rh 0.0000 0.0000 0.5000 1
Rh2 Rh 0.0000 0.5000 0.8651 1
Rh3 Rh 0.5000 0.0000 0.1349 1
Rh4 Rh 0.5000 0.5000 0.5000 1

[9]
# YErTlPb (PBE-GGA, relaxed)
# - N(E_F) (states/eV/cell) = 3.12
# - formation energy (kJ/mol of atoms) = -37.38
data_YErTlPb
_cell_length_a 5.6410
_cell_length_b 5.6410
_cell_length_c 5.6410
_cell_angle_alpha 127.37
_cell_angle_beta 127.37
_cell_angle_gamma 77.65
_symmetry_space_group_name_H-M 'P 1'
_symmetry_Int_Tables_number 1
loop_
_symmetry_equiv_pos_as_xyz
'x,y,z'
loop_
_atom_site_label
_atom_site_type_symbol
_atom_site_fract_x
_atom_site_fract_y
_atom_site_fract_z
_atom_site_occupancy
Y1 Y 0.0000 0.0000 0.0000 1
Er1 Er 0.5000 0.5000 0.0000 1
Tl1 Tl 0.2500 0.7500 0.5000 1
Pb1 Pb 0.7500 0.2500 0.5000 1

[10]
# LiThAsPt (PBE-GGA, relaxed)
# - formation energy (kJ/mol of atoms) = -86.42
data_LiThAsPt
_cell_length_a 4.9129
_cell_length_b 4.9129
_cell_length_c 4.9129
_cell_angle_alpha 60.00
_cell_angle_beta 60.00
_cell_angle_gamma 60.00
_symmetry_space_group_name_H-M 'P 1'
_symmetry_Int_Tables_number 1
loop_
_symmetry_equiv_pos_as_xyz
'x,y,z'
loop_
_atom_site_label
_atom_site_type_symbol
_atom_site_fract_x
_atom_site_fract_y
_atom_site_fract_z
_atom_site_occupancy
Li1 Li 0.0000 0.0000 0.0000 1
Th1 Th 0.5000 0.5000 0.5000 1
As1 As 0.7500 0.7500 0.7500 1
Pt1 Pt 0.2500 0.2500 0.2500 1

[11]
# MnNbGeIr (PBE-GGA, relaxed)
# - N(E_F) (states/eV/cell) = 1.97
# - formation energy (kJ/mol of atoms) = -20.95
data_MnNbGeIr
_cell_length_a 4.3814
_cell_length_b 4.3814
_cell_length_c 4.3814
_cell_angle_alpha 60.00
_cell_angle_beta 60.00
_cell_angle_gamma 60.00
_symmetry_space_group_name_H-M 'P 1'
_symmetry_Int_Tables_number 1
loop_
_symmetry_equiv_pos_as_xyz
'x,y,z'
loop_
_atom_site_label
_atom_site_type_symbol
_atom_site_fract_x
_atom_site_fract_y
_atom_site_fract_z
_atom_site_occupancy
Mn1 Mn 0.0000 0.0000 0.0000 1
Nb1 Nb 0.7500 0.7500 0.7500 1
Ge1 Ge 0.5000 0.5000 0.5000 1
Ir1 Ir 0.2500 0.2500 0.2500 1

[12]
# AlTl2Sb (PBE-GGA, relaxed)
# - N(E_F) (states/eV/cell) = 1.88
# - formation energy from raw total energies (eV per atom) = 0.215
data_AlTl2Sb
_cell_length_a 10.8794
_cell_length_b 10.8794
_cell_length_c 10.8794
_cell_angle_alpha 18.12
_cell_angle_beta 18.12
_cell_angle_gamma 18.12
_symmetry_space_group_name_H-M 'P 1'
_symmetry_Int_Tables_number 1
loop_
_symmetry_equiv_pos_as_xyz
'x,y,z'
loop_
_atom_site_label
_atom_site_type_symbol
_atom_site_fract_x
_atom_site_fract_y
_atom_site_fract_z
_atom_site_occupancy
Al1 Al 0.0000 0.0000 0.0000 1
Tl1 Tl 0.2538 0.2538 0.2538 1
Tl2 Tl 0.7462 0.7462 0.7462 1
Sb1 Sb 0.5000 0.5000 0.5000 1

DFT total energy (eV per atom)
-5.549, -7.735, -5.639, -5.867, -6.205, -5.441, -7.543, -6.621, -4.663, -5.902, -8.397, -2.934